DFT (PBE-GGA) results for a geometry-optimized Cs3MgMn2Cl9 structure.

```
Cs3MgMn2Cl9
1.0
7.2761 0.0000 0.0000
-3.6380 6.3013 0.0000
0.0000 0.0000 8.9112
Mn Cl Mg Cs
2 9 1 3
Direct
0.3333 0.6667 0.1681
0.6667 0.3333 0.8319
0.1664 0.8336 0.3340
0.8336 0.6673 0.6660
0.8336 0.1664 0.6660
0.1664 0.3327 0.3340
0.6673 0.8336 0.3340
0.5000 0.0000 0.0000
0.0000 0.5000 0.0000
0.3327 0.1664 0.6660
0.5000 0.5000 0.0000
0.0000 0.0000 0.5000
0.6667 0.3333 0.3322
0.3333 0.6667 0.6678
0.0000 0.0000 0.0000
```

Calculated values
The raw total energy is -4.227 eV per atom. The calculation puts the calculated density at 3.46 g/cm³. For the formation energy from raw total energies, the calculation gives -1620 meV per atom.